No. 1
LiW2Cl at its PBEsol-relaxed geometry. Source: Alexandria, functional SCAN.

Its volume is 15.89 A^3/atom. For the density, the calculation gives 10.712 g cm⁻³. The value obtained for the total energy is -290.250 eV per cell. As for the uncorrected formation energy: 1.1547 eV/atom. As for the crystal system: orthorhombic.

The space group is Cmmm (No. 65) and the conventional cell measures 5.064, 9.291 and 2.702 Å, with angles of 90.00, 90.00 and 90.00 degrees. The distinct sites, in fractional coordinates, are Li at (0.000, 0.000, 0.000), W at (0.250, 0.250, 0.500) and Cl at (0.000, 0.500, 0.000).



No. 2
Fe2AsP at its PBEsol-relaxed geometry. Source: Alexandria, functional SCAN.

Its volume is 12.25 A^3/atom. The calculation puts the formation energy at -0.073 eV/atom. For the density, the calculation gives 7.374 g cm⁻³. The value obtained for the total energy is -134.280 eV per cell. As for the crystal system: monoclinic.

The space group is Cm (No. 8) and the conventional cell measures 7.552, 2.950 and 4.530 Å, with angles of 90.00, 103.81 and 90.00 degrees. The distinct sites, in fractional coordinates, are Fe at (0.000, 0.000, 0.000), Fe at (0.216, 0.000, 0.602), As at (0.473, 0.000, 0.408) and P at (0.209, 0.500, 0.959).



No. 3
KAl3Ag at its PBEsol-relaxed geometry. Source: Alexandria, functional SCAN.

Its volume is 33.25 A^3/atom. The calculation puts the formation energy at 1.838 eV/atom. For the density, the calculation gives 2.276 g cm⁻³. The value obtained for the total energy is -53.761 eV per cell. As for the crystal system: cubic.

The space group is Pm-3m (No. 221) and the conventional cell measures 5.499, 5.499 and 5.499 Å, with angles of 90.00, 90.00 and 90.00 degrees. The distinct sites, in fractional coordinates, are K at (0.000, 0.000, 0.000), Al at (0.000, 0.000, 0.500) and Ag at (0.500, 0.500, 0.500).



No. 4
MgH2Pt2 at its PBEsol-relaxed geometry. Source: Alexandria, functional SCAN.

Its volume is 10.91 A^3/atom. For the density, the calculation gives 12.680 g cm⁻³. The value obtained for the total energy is -308.475 eV per cell. As for the crystal system: tetragonal.

The space group is P4/mbm (No. 127) and the conventional cell measures 5.488, 5.488 and 3.622 Å, with angles of 90.00, 90.00 and 90.00 degrees. The distinct sites, in fractional coordinates, are Mg at (0.000, 0.000, 0.000), H at (0.156, 0.344, 0.000) and Pt at (0.175, 0.325, 0.500).